Run 1
Here is a geometry-optimized AlIn3Si structure from the Alexandria database. Energies are from GGA-PBE.

Unit cell a=5.2638 b=5.2638 c=5.2638 alpha=90.00 beta=90.00 gamma=90.00
Closest atoms and distances in Å follow each position.
Element x y z (fractional)
In 0.0000 0.0000 0.5000  2 Al 2.63
In 0.0000 0.5000 0.0000  2 Al 2.63
In 0.5000 0.0000 0.0000  2 Al 2.63
Si 0.5000 0.5000 0.5000  12 In 3.72
Al 0.0000 0.0000 0.0000  6 In 2.63

Output
Space-group type: Pm-3m, No. 221
V: 145.8 Å³/f.u.
Calculated density: 4.5 g/cm³

***

Run 2
Here is a geometry-optimized AlIn3Si structure from the Alexandria database. Energies are from GGA-PBE.

Unit cell a=5.2430 b=5.2430 c=5.2430 alpha=90.00 beta=90.00 gamma=90.00
Closest atoms and distances in Å follow each position.
Element x y z (fractional)
Al 0.5000 0.5000 0.5000  12 In 3.71
In 0.0000 0.0000 0.5000  2 Si 2.62
In 0.5000 0.0000 0.0000  2 Si 2.62
In 0.0000 0.5000 0.0000  2 Si 2.62
Si 0.0000 0.0000 0.0000  6 In 2.62

Output
Space-group type: Pm-3m, No. 221
V: 144.1 Å³/f.u.
Calculated density: 4.6 g/cm³

***

Most stable: run 2. Least stable: run 1.

***

Run 1
Here is a geometry-optimized YAl2InSi structure from the Alexandria database. Energies are from GGA-PBE.

Unit cell a=5.1409 b=5.0881 c=5.1409 alpha=90.00 beta=90.00 gamma=90.00
Closest atoms and distances in Å follow each position.
Element x y z (fractional)
Al 0.5000 0.0000 0.0000  2 In 2.57
Al 0.0000 0.0000 0.5000  2 In 2.57
Si 0.0000 0.5000 0.0000  2 In 2.54
Y 0.5000 0.5000 0.5000  8 Al 3.62, 4 Si 3.64
In 0.0000 0.0000 0.0000  2 Si 2.54, 4 Al 2.57

Output
Space-group type: P4/mmm, No. 123
V: 134.5 Å³/f.u.
Calculated density: 3.5 g/cm³

***

Run 2
Here is a geometry-optimized YAl2InSi structure from the Alexandria database. Energies are from GGA-PBE.

Unit cell a=4.7806 b=5.3928 c=4.7806 alpha=90.00 beta=90.00 gamma=90.00
Closest atoms and distances in Å follow each position.
Element x y z (fractional)
Al 0.0000 0.0000 0.5000  2 Si 2.39
Al 0.5000 0.0000 0.0000  2 Si 2.39
Si 0.0000 0.0000 0.0000  4 Al 2.39
Y 0.0000 0.5000 0.0000  2 Si 2.70
In 0.5000 0.5000 0.5000  4 Y 3.38, 8 Al 3.60

Output
Space-group type: P4/mmm, No. 123
V: 123.2 Å³/f.u.
Calculated density: 3.9 g/cm³

***

Most stable: run 2. Least stable: run 1.